(1)
Here is a geometry-optimized LuPaCdGa structure from Alexandria. Energies are from PBE-GGA.

abc: 5.116 5.116 5.116
angles: 60.00 60.00 60.00
Site moments in Bohr magnetons follow the coordinates.
Fractional positions:
Pa: 0.500 0.500 0.500  -0.29
Lu: 0.000 0.000 0.000  -0.03
Ga: 0.250 0.250 0.250  0.00
Cd: 0.750 0.750 0.750  0.00

- total DFT energy (no corrections) (eV/atom) = -4.5764
- M_tot (Bohr magnetons per cell) = 0.38

=====

(2)
Here is a geometry-optimized LuCdGaPd structure from Alexandria. Energies are from PBE-GGA.

abc: 4.774 4.774 4.774
angles: 60.00 60.00 60.00
Fractional positions:
Lu: 0.000 0.000 0.000
Ga: 0.250 0.250 0.250
Pd: 0.750 0.750 0.750
Cd: 0.500 0.500 0.500

- total DFT energy (no corrections) (eV/atom) = -3.9612
- M_tot (Bohr magnetons per cell) = 0.00

=====

(3)
Here is a geometry-optimized PmLuCdGa structure from Alexandria. Energies are from PBE-GGA.

abc: 5.196 5.196 5.196
angles: 60.00 60.00 60.00
Fractional positions:
Cd: 0.750 0.750 0.750
Lu: 0.000 0.000 0.000
Ga: 0.250 0.250 0.250
Pm: 0.500 0.500 0.500

- total DFT energy (no corrections) (eV/atom) = -3.7222
- M_tot (Bohr magnetons per cell) = 0.00

=====

(4)
Here is a geometry-optimized PrLuCdGa structure from Alexandria. Energies are from PBE-GGA.

abc: 5.239 5.239 5.239
angles: 60.00 60.00 60.00
Fractional positions:
Pr: 0.750 0.750 0.750
Lu: 0.250 0.250 0.250
Ga: 0.000 0.000 0.000
Cd: 0.500 0.500 0.500

- total DFT energy (no corrections) (eV/atom) = -3.7169
- M_tot (Bohr magnetons per cell) = 0.00

=====

(5)
Here is a geometry-optimized SrLuCdGa structure from Alexandria. Energies are from PBE-GGA.

abc: 5.335 5.335 5.335
angles: 60.00 60.00 60.00
Fractional positions:
Sr: 0.000 0.000 0.000
Lu: 0.500 0.500 0.500
Ga: 0.250 0.250 0.250
Cd: 0.750 0.750 0.750

- total DFT energy (no corrections) (eV/atom) = -2.8417
- M_tot (Bohr magnetons per cell) = 0.00

=====

(6)
Here is a geometry-optimized TbLuCdGa structure from Alexandria. Energies are from PBE-GGA.

abc: 5.136 5.136 5.136
angles: 60.00 60.00 60.00
Fractional positions:
Lu: 0.000 0.000 0.000
Tb: 0.500 0.500 0.500
Ga: 0.250 0.250 0.250
Cd: 0.750 0.750 0.750

- total DFT energy (no corrections) (eV/atom) = -3.6993
- M_tot (Bohr magnetons per cell) = 0.01

=====

(7)
Here is a geometry-optimized LuThCdGa structure from Alexandria. Energies are from PBE-GGA.

abc: 5.214 5.214 5.214
angles: 60.00 60.00 60.00
Fractional positions:
Lu: 0.500 0.500 0.500
Ga: 0.750 0.750 0.750
Th: 0.000 0.000 0.000
Cd: 0.250 0.250 0.250

- total DFT energy (no corrections) (eV/atom) = -4.2805
- M_tot (Bohr magnetons per cell) = 0.00

=====

(8)
Here is a geometry-optimized TmLuCdGa structure from Alexandria. Energies are from PBE-GGA.

abc: 5.090 5.090 5.090
angles: 60.00 60.00 60.00
Fractional positions:
Lu: 0.500 0.500 0.500
Tm: 0.000 0.000 0.000
Ga: 0.250 0.250 0.250
Cd: 0.750 0.750 0.750

- total DFT energy (no corrections) (eV/atom) = -3.6499
- M_tot (Bohr magnetons per cell) = 0.00

=====

(9)
Here is a geometry-optimized LuZrCdGa structure from Alexandria. Energies are from PBE-GGA.

abc: 4.951 4.951 4.951
angles: 60.00 60.00 60.00
Fractional positions:
Lu: 0.500 0.500 0.500
Ga: 0.750 0.750 0.750
Zr: 0.000 0.000 0.000
Cd: 0.250 0.250 0.250

- total DFT energy (no corrections) (eV/atom) = -4.5512
- M_tot (Bohr magnetons per cell) = 0.00

=====

(10)
Here is a geometry-optimized Mg2Cd5Ga2 structure from Alexandria. Energies are from PBE-GGA.

abc: 10.505 5.690 9.003
angles: 108.43 125.69 90.00
Fractional positions:
Mg: 0.000 0.973 0.000
Mg: 0.500 0.473 0.000
Mg: 0.793 0.861 0.500
Mg: 0.207 0.361 0.500
Cd: 0.786 0.859 0.131
Cd: 0.214 0.728 0.869
Cd: 0.846 0.359 0.131
Cd: 0.154 0.228 0.869
Cd: 0.657 0.879 0.713
Cd: 0.343 0.165 0.287
Cd: 0.556 0.379 0.713
Cd: 0.444 0.665 0.287
Cd: 0.101 0.859 0.500
Cd: 0.899 0.359 0.500
Ga: 0.863 0.409 0.805
Ga: 0.137 0.604 0.195
Ga: 0.442 0.909 0.805
Ga: 0.558 0.104 0.195

- total DFT energy (no corrections) (eV/atom) = -1.5180
- M_tot (Bohr magnetons per cell) = 0.00

=====

(11)
Here is a geometry-optimized Mg6CdGa5 structure from Alexandria. Energies are from PBE-GGA.

abc: 9.455 5.513 5.481
angles: 59.80 84.19 78.38
Fractional positions:
Mg: 0.750 0.084 0.338
Mg: 0.250 0.578 0.338
Mg: 0.249 0.255 0.000
Mg: 0.751 0.745 0.000
Mg: 0.750 0.422 0.662
Mg: 0.250 0.916 0.662
Cd: 0.000 0.000 0.000
Ga: 0.500 0.166 0.668
Ga: 0.000 0.333 0.334
Ga: 0.500 0.500 0.000
Ga: 0.000 0.667 0.666
Ga: 0.500 0.834 0.332

- total DFT energy (no corrections) (eV/atom) = -2.2406
- M_tot (Bohr magnetons per cell) = 0.00

=====

(12)
Here is a geometry-optimized Mg12Cd5Ga2 structure from Alexandria. Energies are from PBE-GGA.

abc: 5.023 10.038 10.038
angles: 58.02 76.07 76.07
Fractional positions:
Mg: 0.085 0.906 0.906
Mg: 0.202 0.543 0.057
Mg: 0.202 0.057 0.543
Mg: 0.595 0.639 0.180
Mg: 0.595 0.180 0.639
Mg: 0.108 0.410 0.410
Mg: 0.892 0.590 0.590
Mg: 0.405 0.361 0.820
Mg: 0.405 0.820 0.361
Mg: 0.798 0.457 0.943
Mg: 0.798 0.943 0.457
Mg: 0.915 0.094 0.094
Cd: 0.327 0.191 0.191
Cd: 0.726 0.297 0.297
Cd: 0.500 0.000 0.000
Cd: 0.274 0.703 0.703
Cd: 0.673 0.809 0.809
Ga: 0.000 0.252 0.748
Ga: 0.000 0.748 0.252

- total DFT energy (no corrections) (eV/atom) = -1.6236
- M_tot (Bohr magnetons per cell) = 0.00

=====

Copy entry 3 word for word.
Here is a geometry-optimized PmLuCdGa structure from Alexandria. Energies are from PBE-GGA.

abc: 5.196 5.196 5.196
angles: 60.00 60.00 60.00
Fractional positions:
Cd: 0.750 0.750 0.750
Lu: 0.000 0.000 0.000
Ga: 0.250 0.250 0.250
Pm: 0.500 0.500 0.500

- total DFT energy (no corrections) (eV/atom) = -3.7222
- M_tot (Bohr magnetons per cell) = 0.00